# 1
Tl2CrSb | PBE-GGA | relaxed

As for the total magnetization: 4.29 μB per formula unit. As for the relative energy among the computed polymorphs: 143 meV/atom. As for the space-group type: No. 139. As for the crystal system: tetragonal.

Cell: 4.3746 4.3746 11.0157 Å, 90.00 90.00 90.00°
Positions (direct):
1 Tl 0.0000 0.5000 0.2500
2 Tl 0.0000 0.5000 0.7500
3 Tl 0.5000 0.0000 0.2500
4 Tl 0.5000 0.0000 0.7500
5 Cr 0.0000 0.0000 0.0000
6 Cr 0.5000 0.5000 0.5000
7 Sb 0.0000 0.0000 0.5000
8 Sb 0.5000 0.5000 0.0000



# 2
TlCr2Sb | PBE-GGA | relaxed

As for the total magnetization: 6.94 μB per formula unit. As for the relative energy among the computed polymorphs: 208 meV/atom. As for the space-group type: No. 8. As for the crystal system: monoclinic.

Cell: 10.5345 3.5897 4.4695 Å, 90.00 103.78 90.00°
Positions (direct):
1 Tl 0.0000 0.0000 0.0000
2 Tl 0.5000 0.5000 0.0000
3 Cr 0.2550 0.0000 0.8860
4 Cr 0.4811 0.0000 0.4934
5 Cr 0.7550 0.5000 0.8860
6 Cr 0.9811 0.5000 0.4934
7 Sb 0.2526 0.5000 0.3977
8 Sb 0.7526 0.0000 0.3977



# 3
TlCrSb2 | PBE-GGA | relaxed

As for the total magnetization: 2.99 μB per formula unit. As for the relative energy among the computed polymorphs: 0 meV/atom. As for the space-group type: No. 12. As for the crystal system: monoclinic.

Cell: 8.0252 3.7931 7.4383 Å, 90.00 103.13 90.00°
Positions (direct):
1 Tl 0.0000 0.0000 0.0000
2 Tl 0.5000 0.5000 0.0000
3 Cr 0.0000 0.5000 0.5000
4 Cr 0.5000 0.0000 0.5000
5 Sb 0.2304 0.0000 0.6708
6 Sb 0.2696 0.5000 0.3292
7 Sb 0.7304 0.5000 0.6708
8 Sb 0.7696 0.0000 0.3292



# 4
TlCrSb2 | PBE-GGA | relaxed

As for the total magnetization: 3.96 μB per formula unit. As for the relative energy among the computed polymorphs: 283 meV/atom. As for the space-group type: No. 119. As for the crystal system: tetragonal.

Cell: 4.3684 4.3684 10.5740 Å, 90.00 90.00 90.00°
Positions (direct):
1 Tl 0.0000 0.0000 0.0000
2 Tl 0.5000 0.5000 0.5000
3 Cr 0.0000 0.5000 0.7500
4 Cr 0.5000 0.0000 0.2500
5 Sb 0.0000 0.0000 0.5000
6 Sb 0.0000 0.5000 0.2500
7 Sb 0.5000 0.0000 0.7500
8 Sb 0.5000 0.5000 0.0000



# 5
TlCrSb2 | PBE-GGA | relaxed

As for the total magnetization: 4.03 μB per formula unit. As for the relative energy among the computed polymorphs: 238 meV/atom. As for the space-group type: No. 123. As for the crystal system: tetragonal.

Cell: 4.6516 4.6516 4.7038 Å, 90.00 90.00 90.00°
Positions (direct):
1 Tl 0.0000 0.0000 0.0000
2 Cr 0.5000 0.5000 0.0000
3 Sb 0.0000 0.5000 0.5000
4 Sb 0.5000 0.0000 0.5000



# 6
TlCrSb2 | PBE-GGA | relaxed

As for the total magnetization: 3.78 μB per formula unit. As for the relative energy among the computed polymorphs: 263 meV/atom. As for the space-group type: No. 160. As for the crystal system: trigonal.

Cell: 3.4085 3.4085 30.7085 Å, 90.00 90.00 120.00°
Positions (direct):
1 Tl 0.0000 0.0000 0.0000
2 Tl 0.3333 0.6667 0.6667
3 Tl 0.6667 0.3333 0.3333
4 Cr 0.0000 0.0000 0.2583
5 Cr 0.3333 0.6667 0.9250
6 Cr 0.6667 0.3333 0.5916
7 Sb 0.0000 0.0000 0.5272
8 Sb 0.0000 0.0000 0.7503
9 Sb 0.3333 0.6667 0.1938
10 Sb 0.3333 0.6667 0.4169
11 Sb 0.6667 0.3333 0.0836
12 Sb 0.6667 0.3333 0.8605



Values for formation energy from raw total energies, kcal/mol of atoms, ordered as above
8.81; 12.22; 3.30; 9.83; 8.80; 9.36